# 1
# YTl3Pd (PBE, relaxed)
data_YTl3Pd
_chemical_formula_sum 'Y1 Tl3 Pd1'
_space_group_name_H-M_alt 'P 1'
_space_group_IT_number 1
_space_group_name_Hall 'P 1'
_cell_length_a 5.270
_cell_length_b 5.270
_cell_length_c 5.270
_cell_angle_alpha 90.00
_cell_angle_beta 90.00
_cell_angle_gamma 90.00
loop_
_atom_site_label
_atom_site_type_symbol
_atom_site_fract_x
_atom_site_fract_y
_atom_site_fract_z
Y1 Y 0.000 0.000 0.000
Tl1 Tl 0.000 0.500 0.500
Tl2 Tl 0.500 0.000 0.500
Tl3 Tl 0.500 0.500 0.000
Pd1 Pd 0.500 0.500 0.500
# - magnetic moment (μB per cell) = 0.000

# 2
# Y5TlPd2 (PBE, relaxed)
data_Y5TlPd2
_chemical_formula_sum 'Y10 Tl2 Pd4'
_space_group_name_H-M_alt 'P 1'
_space_group_IT_number 1
_space_group_name_Hall 'P 1'
_cell_length_a 8.763
_cell_length_b 8.763
_cell_length_c 8.763
_cell_angle_alpha 126.44
_cell_angle_beta 126.44
_cell_angle_gamma 79.16
loop_
_atom_site_label
_atom_site_type_symbol
_atom_site_fract_x
_atom_site_fract_y
_atom_site_fract_z
Y1 Y 0.000 0.000 0.000
Y2 Y 0.017 0.517 0.815
Y3 Y 0.201 0.017 0.500
Y4 Y 0.299 0.799 0.815
Y5 Y 0.483 0.299 0.500
Y6 Y 0.500 0.500 0.000
Y7 Y 0.517 0.701 0.500
Y8 Y 0.701 0.201 0.185
Y9 Y 0.799 0.983 0.500
Y10 Y 0.983 0.483 0.185
Tl1 Tl 0.250 0.250 0.000
Tl2 Tl 0.750 0.750 0.000
Pd1 Pd 0.134 0.366 0.500
Pd2 Pd 0.366 0.866 0.232
Pd3 Pd 0.634 0.134 0.768
Pd4 Pd 0.866 0.634 0.500
# - magnetic moment (μB per cell) = 0.014

# 3
# Y6Tl3Pd (PBE, relaxed)
data_Y6Tl3Pd
_chemical_formula_sum 'Y12 Tl6 Pd2'
_space_group_name_H-M_alt 'P 1'
_space_group_IT_number 1
_space_group_name_Hall 'P 1'
_cell_length_a 9.100
_cell_length_b 11.769
_cell_length_c 5.248
_cell_angle_alpha 90.00
_cell_angle_beta 90.00
_cell_angle_gamma 90.00
loop_
_atom_site_label
_atom_site_type_symbol
_atom_site_fract_x
_atom_site_fract_y
_atom_site_fract_z
Y1 Y 0.007 0.238 0.000
Y2 Y 0.162 0.085 0.500
Y3 Y 0.177 0.413 0.500
Y4 Y 0.323 0.913 0.000
Y5 Y 0.338 0.585 0.000
Y6 Y 0.493 0.738 0.500
Y7 Y 0.507 0.262 0.500
Y8 Y 0.662 0.415 0.000
Y9 Y 0.677 0.087 0.000
Y10 Y 0.823 0.587 0.500
Y11 Y 0.838 0.915 0.500
Y12 Y 0.993 0.762 0.000
Tl1 Tl 0.000 0.500 0.000
Tl2 Tl 0.160 0.746 0.500
Tl3 Tl 0.340 0.246 0.000
Tl4 Tl 0.500 0.000 0.500
Tl5 Tl 0.660 0.754 0.000
Tl6 Tl 0.840 0.254 0.500
Pd1 Pd 0.000 0.000 0.000
Pd2 Pd 0.500 0.500 0.500
# - magnetic moment (μB per cell) = 0.000

# 4
# Y2TlPd5 (PBE, relaxed)
data_Y2TlPd5
_chemical_formula_sum 'Y2 Tl1 Pd5'
_space_group_name_H-M_alt 'P 1'
_space_group_IT_number 1
_space_group_name_Hall 'P 1'
_cell_length_a 5.938
_cell_length_b 5.938
_cell_length_c 5.935
_cell_angle_alpha 118.39
_cell_angle_beta 118.39
_cell_angle_gamma 92.65
loop_
_atom_site_label
_atom_site_type_symbol
_atom_site_fract_x
_atom_site_fract_y
_atom_site_fract_z
Y1 Y 0.250 0.750 0.000
Y2 Y 0.750 0.250 0.000
Tl1 Tl 0.251 0.251 0.500
Pd1 Pd 0.250 0.250 0.999
Pd2 Pd 0.250 0.751 0.500
Pd3 Pd 0.750 0.750 0.500
Pd4 Pd 0.751 0.250 0.500
Pd5 Pd 0.751 0.751 0.001
# - magnetic moment (μB per cell) = 0.000

# 5
# YTlPd3 (PBE, relaxed)
data_YTlPd3
_chemical_formula_sum 'Y2 Tl2 Pd6'
_space_group_name_H-M_alt 'P 1'
_space_group_IT_number 1
_space_group_name_Hall 'P 1'
_cell_length_a 5.787
_cell_length_b 5.787
_cell_length_c 7.867
_cell_angle_alpha 111.72
_cell_angle_beta 111.72
_cell_angle_gamma 59.98
loop_
_atom_site_label
_atom_site_type_symbol
_atom_site_fract_x
_atom_site_fract_y
_atom_site_fract_z
Y1 Y 0.111 0.111 0.334
Y2 Y 0.889 0.889 0.666
Tl1 Tl 0.331 0.331 0.992
Tl2 Tl 0.669 0.669 0.008
Pd1 Pd 0.116 0.607 0.331
Pd2 Pd 0.393 0.393 0.670
Pd3 Pd 0.393 0.884 0.669
Pd4 Pd 0.607 0.116 0.331
Pd5 Pd 0.607 0.607 0.330
Pd6 Pd 0.884 0.393 0.669
# - magnetic moment (μB per cell) = 0.000

# 6
# Y5Tl2Pd (PBE, relaxed)
data_Y5Tl2Pd
_chemical_formula_sum 'Y10 Tl4 Pd2'
_space_group_name_H-M_alt 'P 1'
_space_group_IT_number 1
_space_group_name_Hall 'P 1'
_cell_length_a 7.301
_cell_length_b 12.611
_cell_length_c 4.824
_cell_angle_alpha 90.00
_cell_angle_beta 90.00
_cell_angle_gamma 90.00
loop_
_atom_site_label
_atom_site_type_symbol
_atom_site_fract_x
_atom_site_fract_y
_atom_site_fract_z
Y1 Y 0.000 0.000 0.000
Y2 Y 0.130 0.285 0.000
Y3 Y 0.180 0.584 0.500
Y4 Y 0.320 0.084 0.500
Y5 Y 0.370 0.785 0.000
Y6 Y 0.500 0.500 0.000
Y7 Y 0.630 0.215 0.000
Y8 Y 0.680 0.916 0.500
Y9 Y 0.820 0.416 0.500
Y10 Y 0.870 0.715 0.000
Tl1 Tl 0.100 0.838 0.500
Tl2 Tl 0.400 0.338 0.500
Tl3 Tl 0.600 0.662 0.500
Tl4 Tl 0.900 0.162 0.500
Pd1 Pd 0.000 0.500 0.000
Pd2 Pd 0.500 0.000 0.000
# - magnetic moment (μB per cell) = 0.000

E_tot, respectively: -3.674 -6.211 -5.481 -5.833 -5.503 -5.724 eV/atom.
Formation energy from the elements, respectively: 7 -56 -36 -65 -60 -43 kJ/mol of atoms.